First-principles (PBE-GGA) data for a relaxed CaSc2CoHg crystal, as listed in the Alexandria database.

Computed properties:
* space-group type: P4/mmm
* calculated formation energy: 0.7985 eV/atom

```
CaSc2CoHg
1.0
5.304 0.000 0.000
0.000 5.304 0.000
0.000 0.000 5.591
Ca Sc Co Hg
1 2 1 1
direct
0.000 0.000 0.000
0.000 0.500 0.500
0.500 0.000 0.500
0.500 0.500 0.000
0.000 0.000 0.500
```

=====

First-principles (PBE-GGA) data for a relaxed TeAu2 crystal, as listed in the Alexandria database.

Computed properties:
* E_form (uncorrected): 0.073 eV per atom
* space-group type: P-3m1

```
TeAu2
1.0
4.107 0.000 0.000
-2.054 3.557 0.000
0.000 0.000 4.749
Te Au
1 2
direct
0.000 0.000 0.000
0.333 0.667 0.339
0.667 0.333 0.661
```

=====

First-principles (PBE-GGA) data for a relaxed YGa2Br5 crystal, as listed in the Alexandria database.

Computed properties:
* E_form (uncorrected): -1.200 eV per atom
* space-group type: Cc

```
YGa2Br5
1.0
7.978 -3.864 0.000
7.978 3.864 0.000
-4.640 0.000 9.628
Y Ga Br
2 4 10
direct
0.000 0.000 0.000
0.000 0.000 0.500
0.350 0.407 0.774
0.407 0.350 0.274
0.593 0.651 0.726
0.651 0.593 0.226
0.031 0.321 0.151
0.144 0.857 0.250
0.234 0.613 0.536
0.321 0.031 0.651
0.388 0.765 0.964
0.613 0.234 0.036
0.678 0.970 0.350
0.765 0.388 0.464
0.857 0.144 0.750
0.970 0.678 0.850
```

=====

First-principles (PBE-GGA) data for a relaxed Sr2P crystal, as listed in the Alexandria database.

Computed properties:
* space-group type: P-3m1
* calculated formation energy: -0.8471 eV/atom

```
Sr2P
1.0
4.455 0.000 0.000
-2.227 3.858 0.000
0.000 0.000 7.479
Sr P
2 1
direct
0.333 0.667 0.290
0.667 0.333 0.710
0.000 0.000 0.500
```

=====

First-principles (PBE-GGA) data for a relaxed Pu3GePt8 crystal, as listed in the Alexandria database.

Computed properties:
* space-group type: R3m
* calculated formation energy: -0.7036 eV/atom

```
Pu3GePt8
1.0
2.723 1.572 8.887
-2.723 1.572 8.887
0.000 -3.145 8.887
Pu Ge Pt
3 1 8
direct
0.000 0.000 0.000
0.130 0.130 0.130
0.517 0.517 0.517
0.658 0.658 0.658
0.070 0.070 0.566
0.070 0.566 0.070
0.076 0.568 0.568
0.318 0.318 0.318
0.566 0.070 0.070
0.568 0.076 0.568
0.568 0.568 0.076
0.820 0.820 0.820
```

=====

First-principles (PBE-GGA) data for a relaxed AcY6Ho2 crystal, as listed in the Alexandria database.

Computed properties:
* space-group type: C2/m
* calculated formation energy: 0.0571 eV/atom

```
AcY6Ho2
1.0
6.439 -1.875 0.000
6.439 1.875 0.000
-3.707 0.000 12.568
Ac Y Ho
1 6 2
direct
0.000 0.000 0.000
0.033 0.033 0.690
0.301 0.301 0.110
0.355 0.355 0.477
0.645 0.645 0.523
0.699 0.699 0.890
0.967 0.967 0.310
0.324 0.324 0.739
0.676 0.676 0.261
```

=====

First-principles (PBE-GGA) data for a relaxed KRbRu3 crystal, as listed in the Alexandria database.

Computed properties:
* space-group type: Pm-3m
* calculated formation energy: 2.7905 eV/atom

```
KRbRu3
1.0
5.107 0.000 0.000
0.000 5.107 0.000
0.000 0.000 5.107
K Rb Ru
1 1 3
direct
0.000 0.000 0.000
0.500 0.500 0.500
0.000 0.500 0.500
0.500 0.000 0.500
0.500 0.500 0.000
```

=====

First-principles (PBE-GGA) data for a relaxed ZrScAgHg crystal, as listed in the Alexandria database.

Computed properties:
* space-group type: F-43m
* calculated formation energy: -0.1879 eV/atom

```
ZrScAgHg
1.0
0.000 3.483 3.483
3.483 0.000 3.483
3.483 3.483 0.000
Zr Sc Ag Hg
1 1 1 1
direct
0.000 0.000 0.000
0.500 0.500 0.500
0.750 0.750 0.750
0.250 0.250 0.250
```

=====

First-principles (PBE-GGA) data for a relaxed AcTm2Cd6 crystal, as listed in the Alexandria database.

Computed properties:
* space-group type: P6/mmm
* calculated formation energy: -0.2697 eV/atom

```
AcTm2Cd6
1.0
8.750 0.000 0.000
-4.375 7.578 0.000
0.000 0.000 3.505
Ac Tm Cd
1 2 6
direct
0.000 0.000 0.000
0.333 0.667 0.000
0.667 0.333 0.000
0.000 0.341 0.500
0.000 0.659 0.500
0.341 0.000 0.500
0.341 0.341 0.500
0.659 0.000 0.500
0.659 0.659 0.500
```

=====

First-principles (PBE-GGA) data for a relaxed TmTe crystal, as listed in the Alexandria database.

Computed properties:
* E_form (uncorrected): -1.198 eV per atom
* space-group type: P4/nmm

```
TmTe
1.0
4.181 0.000 0.000
0.000 4.181 0.000
0.000 0.000 6.393
Tm Te
2 2
direct
0.250 0.250 0.182
0.750 0.750 0.818
0.250 0.250 0.704
0.750 0.750 0.296
```